Entry 1:
BaFe3Br | PBE | optimized geometry

As for the formation energy from raw total energies: 2.134 eV per atom. As for the distance to the lowest polymorph of the same formula: 5.560 eV/f.u. The total magnetization comes out at 2.186 μB/atom.

The structure belongs to space group Pm-3m (No. 221); the cell edges are 5.795, 5.795 and 5.795 Å and the angles 90.00°, 90.00° and 90.00°. The asymmetric unit holds Ba at (0.000, 0.000, 0.000), Fe at (0.000, 0.000, 0.500) and Br at (0.500, 0.500, 0.500).


Entry 2:
BaFe2Br | PBE | optimized geometry

As for the formation energy from raw total energies: 0.239 eV per atom. As for the distance to the lowest polymorph of the same formula: 0.526 eV/f.u. The total magnetization comes out at 1.259 μB/atom.

The structure belongs to space group C2/m (No. 12); the cell edges are 12.101, 3.669 and 5.629 Å and the angles 90.00°, 111.04° and 90.00°. The asymmetric unit holds Ba at (0.000, 0.000, 0.000), Fe at (0.207, 0.500, 0.874) and Br at (0.000, 0.500, 0.500).


Entry 3:
BaFeBr4 | PBE | optimized geometry

As for the formation energy from raw total energies: 0.033 eV per atom. As for the distance to the lowest polymorph of the same formula: 7.870 eV/f.u. The total magnetization comes out at 1.010 μB/atom.

The structure belongs to space group F-43m (No. 216); the cell edges are 9.234, 9.234 and 9.234 Å and the angles 90.00°, 90.00° and 90.00°. The asymmetric unit holds Ba at (0.000, 0.000, 0.000), Fe at (0.250, 0.250, 0.250) and Br at (0.125, 0.125, 0.625).


Entry 4:
BaFeBr2 | PBE | optimized geometry

As for the formation energy from raw total energies: -0.580 eV per atom. As for the distance to the lowest polymorph of the same formula: 0.372 eV/f.u. The total magnetization comes out at 1.000 μB/atom.

The structure belongs to space group Fm-3m (No. 225); the cell edges are 7.803, 7.803 and 7.803 Å and the angles 90.00°, 90.00° and 90.00°. The asymmetric unit holds Ba at (0.000, 0.000, 0.000), Fe at (0.000, 0.000, 0.500) and Br at (0.250, 0.250, 0.250).


Entry 5:
BaFeBr3 | PBE | optimized geometry

As for the formation energy from raw total energies: -1.012 eV per atom. As for the distance to the lowest polymorph of the same formula: 0.000 eV/f.u. The total magnetization comes out at 0.600 μB/atom.

The structure belongs to space group Pm-3m (No. 221); the cell edges are 5.206, 5.206 and 5.206 Å and the angles 90.00°, 90.00° and 90.00°. The asymmetric unit holds Ba at (0.000, 0.000, 0.000), Fe at (0.500, 0.500, 0.500) and Br at (0.000, 0.500, 0.500).


Entry 6:
BaFe2Br | PBE | optimized geometry

As for the formation energy from raw total energies: 0.206 eV per atom. As for the distance to the lowest polymorph of the same formula: 0.396 eV/f.u. The total magnetization comes out at 0.086 μB/atom.

The structure belongs to space group P3m1 (No. 156); the cell edges are 3.8616, 3.8616 and 7.5956 Å and the angles 90.00°, 90.00° and 120.00°. The asymmetric unit holds Ba at (0.0000, 0.0000, 0.0000), Fe at (0.3333, 0.6667, 0.6370), Fe at (0.6667, 0.3333, 0.7001) and Br at (0.3333, 0.6667, 0.3210).